[1]
# GGA-PBE La2Y7Ho3, relaxed
data_La2Y7Ho3
_cell_length_a 6.399
_cell_length_b 3.532
_cell_length_c 17.592
_cell_angle_alpha 90.00
_cell_angle_beta 96.03
_cell_angle_gamma 90.00
_space_group_name_H-M_alt 'P 1 2/m 1'
_space_group_IT_number 10
_space_group_name_Hall '-P 2y'
loop_
_atom_site_label
_atom_site_type_symbol
_atom_site_fract_x
_atom_site_fract_y
_atom_site_fract_z
La1 La 0.058 0.000 0.172
Y1 Y 0.000 0.500 0.500
Y2 Y 0.229 0.000 0.666
Y3 Y 0.258 0.000 0.998
Y4 Y 0.277 0.500 0.338
Ho1 Ho 0.454 0.500 0.842
Ho2 Ho 0.500 0.000 0.500
# crystal system	monoclinic
# uncorrected energy	-0.4154	Ry per atom
# DFT formation energy	1.0	eV/f.u.
# V	395.4	Å³/cell

[2]
# GGA-PBE LaY8Ho6, relaxed
data_LaY8Ho6
_cell_length_a 9.4656
_cell_length_b 9.4656
_cell_length_c 6.5210
_cell_angle_alpha 90.00
_cell_angle_beta 90.00
_cell_angle_gamma 120.00
_space_group_name_H-M_alt 'P -3'
_space_group_IT_number 147
_space_group_name_Hall '-P 3'
loop_
_atom_site_label
_atom_site_type_symbol
_atom_site_fract_x
_atom_site_fract_y
_atom_site_fract_z
La1 La 0.0000 0.0000 0.0000
Y1 Y 0.0272 0.3398 0.5953
Y2 Y 0.3333 0.6667 0.3279
Ho1 Ho 0.0951 0.6789 0.9094
# crystal system	trigonal
# uncorrected energy	-0.3952	Ry per atom
# DFT formation energy	3.5	eV/f.u.
# V	506.0	Å³/cell